Entry from Alexandria via LeMat-Bulk: a relaxed structure of Na3InS2 (GGA-PBE).

Structure (POSCAR):
```
Na3InS2
1.0
-0.4977 -5.9922 3.4527
4.4354 -2.7056 -4.0562
3.0721 6.3408 4.4853
Na In S
6 2 4
direct
0.5000 0.2500 0.0000
0.5000 0.7500 0.0000
0.7636 0.0136 0.5272
0.2364 0.4864 0.4728
0.2364 0.9864 0.4728
0.7636 0.5136 0.5272
0.0000 0.5000 0.0000
0.0000 0.0000 0.0000
0.5693 0.3605 0.7209
0.8484 0.1395 0.2791
0.1516 0.8605 0.7209
0.4307 0.6395 0.2791
```

Results
SG: Ibam
V (Å³/atom): 26.1
Formation energy without anion corrections (kJ per mole of atoms): -72.5
E_tot (eV/cell): -38.92